VASP calculation (PBE-GGA) on a geometry-optimized KCu2Rh structure.

Cell: 2.6484 5.4501 10.6112 Å, 90.00 90.00 90.00°
Space group Immm (No. 71)
Symmetry-distinct sites (fractional):
K1 0.0000 0.0000 0.0000 (multiplicity 2)
Cu1 0.0000 0.5000 0.2062 (multiplicity 4)
Rh1 0.0000 0.0000 0.5000 (multiplicity 2)

energy above the most stable polymorph in this dataset	1.00	eV per formula unit
mass density	5.8	g/cm3
electronic total energy	-3.56	eV/atom
density of states at the Fermi level	4.30	states/eV per cell
crystal system	orthorhombic
formation enthalpy at 0 K	602	meV per atom